1.
Density functional theory data (PBE-GGA) for crystalline Nb at its relaxed geometry.

Computed properties:
Calculated density in kg/m³: 8198
Offset from the most stable computed form in meV per atom: 167
Calculated total energy in eV/cell: -287.89
Space group: I-43m (217)
Energy relative to the elements in eV/atom: 0.167

a = 8.917 Å, b = 8.917 Å, c = 8.917 Å
α = 109.47°, β = 109.47°, γ = 109.47°
Atoms (fractional coordinates):
Nb: 0.000 0.000 0.000
Nb: 0.622 0.000 0.000
Nb: 0.371 0.188 0.000
Nb: 0.188 0.371 0.000
Nb: 0.677 0.397 0.000
Nb: 0.000 0.622 0.000
Nb: 0.397 0.677 0.000
Nb: 0.812 0.812 0.183
Nb: 0.371 0.000 0.188
Nb: 0.000 0.371 0.188
Nb: 0.603 0.603 0.280
Nb: 0.720 0.323 0.323
Nb: 0.323 0.720 0.323
Nb: 0.188 0.000 0.371
Nb: 0.000 0.188 0.371
Nb: 0.378 0.378 0.378
Nb: 0.677 0.000 0.397
Nb: 0.000 0.677 0.397
Nb: 0.603 0.280 0.603
Nb: 0.280 0.603 0.603
Nb: 0.000 0.000 0.622
Nb: 0.817 0.629 0.629
Nb: 0.629 0.817 0.629
Nb: 0.397 0.000 0.677
Nb: 0.000 0.397 0.677
Nb: 0.323 0.323 0.720
Nb: 0.812 0.183 0.812
Nb: 0.183 0.812 0.812
Nb: 0.629 0.629 0.817

---

2.
Density functional theory data (PBE-GGA) for crystalline CsTb2Cu3S5 at its relaxed geometry.

Computed properties:
Calculated density in kg/m³: 5660
Calculated total energy in eV/cell: -111.17
Space group: Cmcm (63)

a = 7.303 Å, b = 7.303 Å, c = 16.856 Å
α = 90.00°, β = 90.00°, γ = 148.44°
Atoms (fractional coordinates):
Cs: 0.063 0.937 0.250
Cs: 0.937 0.063 0.750
Cu: 0.584 0.416 0.036
Cu: 0.343 0.657 0.250
Cu: 0.584 0.416 0.464
Cu: 0.416 0.584 0.536
Cu: 0.657 0.343 0.750
Cu: 0.416 0.584 0.964
S: 0.168 0.832 0.069
S: 0.439 0.561 0.108
S: 0.769 0.231 0.250
S: 0.439 0.561 0.392
S: 0.168 0.832 0.431
S: 0.832 0.168 0.569
S: 0.561 0.439 0.608
S: 0.231 0.769 0.750
S: 0.561 0.439 0.892
S: 0.832 0.168 0.931
Tb: 0.808 0.192 0.091
Tb: 0.808 0.192 0.409
Tb: 0.192 0.808 0.591
Tb: 0.192 0.808 0.909

---

3.
Density functional theory data (PBE-GGA) for crystalline CsNd2Cu3Te5 at its relaxed geometry.

Computed properties:
Calculated density in kg/m³: 6315
Calculated total energy in eV/cell: -93.26
Space group: Cmcm (63)

a = 8.138 Å, b = 8.138 Å, c = 18.883 Å
α = 90.00°, β = 90.00°, γ = 148.29°
Atoms (fractional coordinates):
Cs: 0.443 0.557 0.250
Cs: 0.557 0.443 0.750
Cu: 0.915 0.085 0.024
Cu: 0.160 0.840 0.250
Cu: 0.915 0.085 0.476
Cu: 0.085 0.915 0.524
Cu: 0.840 0.160 0.750
Cu: 0.085 0.915 0.976
Nd: 0.693 0.307 0.089
Nd: 0.693 0.307 0.411
Nd: 0.307 0.693 0.589
Nd: 0.307 0.693 0.911
Te: 0.341 0.659 0.073
Te: 0.054 0.946 0.114
Te: 0.741 0.259 0.250
Te: 0.054 0.946 0.386
Te: 0.341 0.659 0.427
Te: 0.659 0.341 0.573
Te: 0.946 0.054 0.614
Te: 0.259 0.741 0.750
Te: 0.946 0.054 0.886
Te: 0.659 0.341 0.927

---

> Number 3 is which compound?

CsNd2Cu3Te5